Entry 1:
YCrNi2I | the Alexandria database | SCAN | single point on PBEsol structure; D(E_F) = 4.55 states/eV/cell; formation energy without anion corrections = 0.730 eV/atom; total moment = 3.4 Bohr magnetons per cell
1.0
4.358 0.000 0.000
0.000 4.358 0.000
0.000 0.000 5.340
Y Cr Ni I
1 1 2 1
direct
0.000 0.000 0.000
0.000 0.000 0.500
0.000 0.500 0.500
0.500 0.000 0.500
0.500 0.500 0.000



Entry 2:
Ba2LiRh | the Alexandria database | SCAN | single point on PBEsol structure; D(E_F) = 2.81 states/eV/cell; total moment = 0.0 Bohr magnetons per cell; energy relative to the elements = -0.64 eV/f.u.
1.0
7.712 0.000 0.000
0.000 4.450 0.000
-2.557 0.000 7.950
Ba Li Rh
4 2 2
direct
0.000 0.000 0.000
0.167 0.000 0.503
0.500 0.500 0.000
0.667 0.500 0.503
0.250 0.500 0.252
0.750 0.000 0.252
0.417 0.000 0.251
0.917 0.500 0.251



Entry 3:
SrPbCl2 | the Alexandria database | SCAN | single point on PBEsol structure; D(E_F) = 16.56 states/eV/cell; formation energy without anion corrections = -1.210 eV/atom; total moment = 0.0 Bohr magnetons per cell; polymorph energy (0 for the lowest one) = 0.1579 eV/atom
1.0
7.461 0.000 0.000
0.000 7.461 0.000
0.000 0.000 7.461
Sr Pb Cl
4 4 8
direct
0.000 0.000 0.000
0.000 0.500 0.500
0.500 0.000 0.500
0.500 0.500 0.000
0.000 0.000 0.500
0.000 0.500 0.000
0.500 0.000 0.000
0.500 0.500 0.500
0.250 0.250 0.250
0.250 0.250 0.750
0.250 0.750 0.250
0.250 0.750 0.750
0.750 0.250 0.250
0.750 0.250 0.750
0.750 0.750 0.250
0.750 0.750 0.750



Entry 4:
K5Ba | the Alexandria database | SCAN | single point on PBEsol structure; D(E_F) = 5.68 states/eV/cell; total moment = 0.2 Bohr magnetons per cell; polymorph energy (0 for the lowest one) = 0.0000 eV/atom; energy relative to the elements = 0.37 eV/f.u.
1.0
4.487 0.000 0.000
-2.225 8.501 0.000
-0.008 -2.869 10.672
K Ba
5 1
direct
0.000 0.000 0.000
0.055 0.111 0.609
0.330 0.661 0.662
0.392 0.787 0.280
0.721 0.444 0.949
0.668 0.337 0.331



Entry 5:
Sr5P6Pb2 | the Alexandria database | SCAN | single point on PBEsol structure; D(E_F) = 2.75 states/eV/cell; total moment = 0.0 Bohr magnetons per cell; energy relative to the elements = -11.63 eV/f.u.
1.0
12.371 0.000 0.000
0.000 13.212 0.000
0.000 0.000 4.251
Sr P Pb
10 12 4
direct
0.000 0.000 0.000
0.112 0.256 0.000
0.150 0.576 0.000
0.350 0.076 0.000
0.388 0.756 0.000
0.500 0.500 0.000
0.612 0.244 0.000
0.650 0.924 0.000
0.850 0.424 0.000
0.888 0.744 0.000
0.040 0.426 0.500
0.130 0.803 0.000
0.160 0.091 0.500
0.340 0.591 0.500
0.370 0.303 0.000
0.460 0.926 0.500
0.540 0.074 0.500
0.630 0.697 0.000
0.660 0.409 0.500
0.840 0.909 0.500
0.870 0.197 0.000
0.960 0.574 0.500
0.217 0.896 0.500
0.283 0.396 0.500
0.717 0.604 0.500
0.783 0.104 0.500



Entry 6:
ZrPb3 | the Alexandria database | SCAN | single point on PBEsol structure; D(E_F) = 4.22 states/eV/cell; total moment = 0.0 Bohr magnetons per cell; energy relative to the elements = -0.22 eV/f.u.
1.0
11.549 0.000 0.000
0.000 3.285 0.000
-1.020 0.000 5.448
Zr Pb
2 6
direct
0.000 0.000 0.000
0.500 0.500 0.000
0.000 0.500 0.500
0.238 0.500 0.238
0.262 0.000 0.762
0.500 0.000 0.500
0.738 0.000 0.238
0.762 0.500 0.762



Entry 7:
RbScAsO4F | the Alexandria database | SCAN | single point on PBEsol structure; D(E_F) = 0.00 states/eV/cell; formation energy without anion corrections = -2.658 eV/atom; total moment = 0.0 Bohr magnetons per cell
1.0
13.711 0.000 0.000
0.000 6.806 0.000
0.000 0.000 11.290
Rb Sc As O F
8 8 8 32 8
direct
0.107 0.202 0.000
0.125 0.771 0.742
0.375 0.271 0.242
0.393 0.702 0.500
0.607 0.298 0.000
0.625 0.729 0.742
0.875 0.229 0.242
0.893 0.798 0.500
0.112 0.494 0.444
0.246 0.751 0.193
0.254 0.251 0.693
0.388 0.994 0.944
0.612 0.006 0.444
0.746 0.749 0.193
0.754 0.249 0.693
0.888 0.506 0.944
0.002 0.323 0.695
0.183 0.997 0.447
0.317 0.497 0.947
0.498 0.823 0.195
0.502 0.177 0.695
0.683 0.503 0.447
0.817 0.003 0.947
0.998 0.677 0.195
0.008 0.534 0.319
0.015 0.487 0.582
0.099 0.820 0.174
0.104 0.182 0.712
0.111 0.799 0.478
0.112 0.198 0.419
0.241 0.452 0.830
0.242 0.531 0.067
0.258 0.031 0.567
0.259 0.952 0.330
0.388 0.698 0.919
0.389 0.299 0.978
0.396 0.682 0.212
0.401 0.320 0.674
0.485 0.987 0.082
0.492 0.034 0.819
0.508 0.966 0.319
0.515 0.013 0.582
0.599 0.680 0.174
0.604 0.318 0.712
0.611 0.701 0.478
0.612 0.302 0.419
0.741 0.048 0.830
0.742 0.969 0.067
0.758 0.469 0.567
0.759 0.548 0.330
0.888 0.802 0.919
0.889 0.201 0.978
0.896 0.818 0.212
0.901 0.180 0.674
0.985 0.513 0.082
0.992 0.466 0.819
0.224 0.467 0.571
0.224 0.539 0.322
0.276 0.039 0.822
0.276 0.967 0.071
0.724 0.033 0.571
0.724 0.961 0.322
0.776 0.461 0.822
0.776 0.533 0.071



Entry 8:
Dy5Re2O12 | the Alexandria database | SCAN | single point on PBEsol structure; D(E_F) = 1.01 states/eV/cell; formation energy without anion corrections = -3.179 eV/atom; total moment = 1.0 Bohr magnetons per cell
1.0
6.166 -2.797 0.000
6.166 2.797 0.000
-2.298 0.000 7.103
Dy Re O
5 2 12
direct
0.000 0.000 0.000
0.303 0.303 0.142
0.314 0.314 0.675
0.686 0.686 0.325
0.697 0.697 0.858
0.216 0.784 0.500
0.784 0.216 0.500
0.001 0.001 0.293
0.087 0.581 0.415
0.098 0.594 0.926
0.406 0.902 0.074
0.419 0.913 0.585
0.499 0.499 0.322
0.501 0.501 0.678
0.581 0.087 0.415
0.594 0.098 0.926
0.902 0.406 0.074
0.913 0.419 0.585
0.999 0.999 0.707



Entry 9:
TlSnPS2 | the Alexandria database | SCAN | single point on PBEsol structure; D(E_F) = 4.26 states/eV/cell; formation energy without anion corrections = 0.793 eV/atom; total moment = 0.0 Bohr magnetons per cell
1.0
5.028 0.000 0.000
0.000 5.028 0.000
0.000 0.000 4.979
Tl Sn P S
1 1 1 2
direct
0.000 0.000 0.000
0.500 0.500 0.500
0.000 0.000 0.500
0.000 0.500 0.000
0.500 0.000 0.000



Entry 10:
TlTcI2O | the Alexandria database | SCAN | single point on PBEsol structure; D(E_F) = 1.05 states/eV/cell; formation energy without anion corrections = 0.639 eV/atom; total moment = 4.6 Bohr magnetons per cell
1.0
5.998 0.000 0.000
0.000 5.998 0.000
0.000 0.000 4.006
Tl Tc I O
1 1 2 1
direct
0.000 0.000 0.000
0.500 0.500 0.500
0.000 0.500 0.000
0.500 0.000 0.000
0.000 0.000 0.500



Entry 11:
BaInCu | the Alexandria database | SCAN | single point on PBEsol structure; D(E_F) = 2.04 states/eV/cell; total moment = 0.0 Bohr magnetons per cell; energy relative to the elements = -0.72 eV/f.u.
1.0
4.697 0.000 0.000
-2.348 4.067 0.000
0.000 0.000 4.486
Ba In Cu
1 1 1
direct
0.000 0.000 0.000
0.667 0.333 0.500
0.333 0.667 0.500



Entry 12:
SrPbS2 | the Alexandria database | SCAN | single point on PBEsol structure; D(E_F) = 0.00 states/eV/cell; formation energy without anion corrections = -1.493 eV/atom; total moment = 0.0 Bohr magnetons per cell
1.0
4.199 0.000 0.000
-2.099 3.636 0.000
0.000 0.000 20.644
Sr Pb S
3 3 6
direct
0.000 0.000 0.000
0.333 0.667 0.667
0.667 0.333 0.333
0.000 0.000 0.500
0.333 0.667 0.167
0.667 0.333 0.833
0.000 0.000 0.251
0.000 0.000 0.749
0.333 0.667 0.416
0.333 0.667 0.917
0.667 0.333 0.083
0.667 0.333 0.584